DFT (PBE) results for a geometry-optimized Na2CaMnI6 structure.

Values from the calculation:
The value obtained for the total moment is 0.50 μB per atom. The value obtained for the theoretical density is 3.992 g/cm3. As for the space group: R3. As for the total energy: -3.385 eV per atom.

a b c (Å): 7.867 7.866 8.349
angles (deg): 61.89 61.89 60.00
Site moments in Bohr magnetons follow the coordinates.
Sites, in units of the cell vectors:
1 I 0.215 0.957 0.252  0.03
2 I 0.575 0.215 0.253  0.03
3 I 0.100 0.433 0.770  0.03
4 I 0.433 0.697 0.770  0.03
5 I 0.957 0.575 0.253  0.03
6 I 0.697 0.100 0.770  0.03
7 Ca 0.824 0.824 0.529  0.01
8 Na 0.519 0.519 0.443  0.00
9 Na 0.016 0.016 0.951  0.00
10 Mn 0.325 0.325 0.025  4.37